The following is a DFT calculation (PBE) of a relaxed CaLa2UN4 crystal.

Geometry as extended XYZ:
```
8
Lattice="6.0804 0.0000 0.0000 0.0000 3.6080 0.0000 -2.0278 0.0000 5.9617" Properties=species:S:1:pos:R:3 pbc="T T T"
Ca 0.0000 0.0000 0.0000
La -1.0139 1.8040 2.9808
La 2.0263 0.0000 2.9808
U 3.0402 1.8040 0.0000
N 0.1249 0.0000 4.7021
N 1.3004 1.8040 1.2688
N 2.7522 1.8040 4.6929
N 3.9278 0.0000 1.2596
```

Results
formation energy from raw total energies	-1317	meV/atom

The following is a DFT calculation (PBE) of a relaxed BaZrInIr2 crystal.

Geometry as extended XYZ:
```
5
Lattice="4.9700 0.0000 0.0000 0.0000 4.9700 0.0000 0.0000 0.0000 5.9597" Properties=species:S:1:pos:R:3 pbc="T T T"
Ba 0.0000 0.0000 0.0000
Zr 0.0000 0.0000 2.9798
In 2.4850 2.4850 0.0000
Ir 0.0000 2.4850 2.9798
Ir 2.4850 0.0000 2.9798
```

Results
calculated formation energy	0.889	eV per atom